Run w
DFT (PBE-GGA) results for a relaxed MgZn3Ru crystal.

a b c (Å): 6.772 5.440 8.720
angles (deg): 90.00 110.39 90.00
Sites, in units of the cell vectors:
Mg: 0.133 0.000 0.310
Mg: 0.264 0.500 0.892
Mg: 0.736 0.500 0.108
Mg: 0.867 0.000 0.690
Zn: 0.000 0.241 0.000
Zn: 0.000 0.759 0.000
Zn: 0.184 0.259 0.607
Zn: 0.184 0.741 0.607
Zn: 0.412 0.242 0.179
Zn: 0.412 0.758 0.179
Zn: 0.500 0.265 0.500
Zn: 0.500 0.735 0.500
Zn: 0.588 0.242 0.821
Zn: 0.588 0.758 0.821
Zn: 0.816 0.259 0.393
Zn: 0.816 0.741 0.393
Ru: 0.147 0.500 0.311
Ru: 0.277 0.000 0.882
Ru: 0.723 0.000 0.118
Ru: 0.853 0.500 0.689

Summary:
As for the density of states at the Fermi level: 2.9 states/eV/f.u.

***

Run x
DFT (PBE-GGA) results for a relaxed MgZn3Ru crystal.

a b c (Å): 4.773 4.773 4.773
angles (deg): 90.00 90.00 90.00
Sites, in units of the cell vectors:
Mg: 0.000 0.000 0.000
Zn: 0.000 0.500 0.500
Zn: 0.500 0.000 0.500
Zn: 0.500 0.500 0.000
Ru: 0.500 0.500 0.500

Summary:
As for the density of states at the Fermi level: 2.8 states/eV/f.u.

***

On energetic grounds, run w is preferred over the next structure by 498 meV/atom.